Entry 1:
Below is a geometry-optimized ErGeIr structure, with properties calculated at the PBE level. Values from VASP.

Computed properties:
The space-group type is No. 11. Its energy of formation from the pure elements is -0.655 eV/atom.

The structure in Quantum ESPRESSO input format:
```
&SYSTEM
  ibrav = 0, nat = 6, ntyp = 3
/
ATOMIC_SPECIES
Er 167.26 Er.upf
Ge 72.64 Ge.upf
Ir 192.22 Ir.upf
ATOMIC_POSITIONS angstrom
Er 0.397 0.966 2.258
Er 3.220 2.898 3.348
Ge -0.925 0.966 4.943
Ge 4.541 2.898 0.663
Ir 0.529 2.898 4.458
Ir 3.088 0.966 1.148
CELL_PARAMETERS angstrom
5.895 0.000 0.000
0.000 3.865 0.000
-2.278 0.000 5.606
```

Entry 2:
Below is a geometry-optimized Rb3Ho2PaTe6 structure, with properties calculated at the PBE level. Values from VASP.

Computed properties:
For the uncorrected energy, the calculation gives -54.8 eV per cell. The space-group type is No. 12.

The structure in Quantum ESPRESSO input format:
```
&SYSTEM
  ibrav = 0, nat = 12, ntyp = 4
/
ATOMIC_SPECIES
Rb 85.47 Rb.upf
Ho 164.93 Ho.upf
Pa 231.04 Pa.upf
Te 127.60 Te.upf
ATOMIC_POSITIONS angstrom
Rb 0.000 0.000 0.000
Rb 3.898 2.244 0.000
Rb 3.898 -2.244 0.000
Ho 2.599 4.501 4.307
Ho 2.599 -4.501 4.307
Pa 2.599 0.000 4.307
Te 1.289 2.270 2.574
Te -0.022 0.000 6.039
Te 1.289 -2.270 2.574
Te 3.910 2.270 6.040
Te 5.220 0.000 2.576
Te 3.910 -2.270 6.040
CELL_PARAMETERS angstrom
3.898 -6.751 0.000
3.898 6.751 0.000
-2.598 0.000 8.614
```

Entry 3:
Below is a geometry-optimized LaScOs2 structure, with properties calculated at the PBE level. Values from VASP.

Computed properties:
For the energy relative to the lowest polymorph listed for this composition, the calculation gives 176 meV per atom. The space-group type is No. 65. Its energy of formation from the pure elements is 0.223 eV/atom.

The structure in Quantum ESPRESSO input format:
```
&SYSTEM
  ibrav = 0, nat = 8, ntyp = 3
/
ATOMIC_SPECIES
La 138.91 La.upf
Sc 44.96 Sc.upf
Os 190.23 Os.upf
ATOMIC_POSITIONS angstrom
La 0.000 0.000 0.000
La 1.636 2.503 0.000
Sc 0.000 0.000 4.541
Sc 1.636 2.503 4.541
Os 0.000 2.503 2.420
Os 0.000 2.503 6.662
Os 1.636 0.000 2.420
Os 1.636 0.000 6.662
CELL_PARAMETERS angstrom
3.272 0.000 0.000
0.000 5.007 0.000
0.000 0.000 9.081
```

Entry 4:
Below is a geometry-optimized Tb6Pm2Nd3Sc structure, with properties calculated at the PBE level. Values from VASP.

Computed properties:
The space-group type is No. 12. Its energy of formation from the pure elements is 0.025 eV/atom.

The structure in Quantum ESPRESSO input format:
```
&SYSTEM
  ibrav = 0, nat = 12, ntyp = 4
/
ATOMIC_SPECIES
Tb 158.93 Tb.upf
Pm 145.00 Pm.upf
Nd 144.24 Nd.upf
Sc 44.96 Sc.upf
ATOMIC_POSITIONS angstrom
Tb 1.021 1.774 2.877
Tb -0.013 0.000 8.809
Tb 1.021 -1.774 2.877
Tb 3.118 1.774 8.816
Tb 4.152 0.000 2.883
Tb 3.118 -1.774 8.816
Pm 3.102 1.786 0.000
Pm 3.102 -1.786 0.000
Nd 2.070 3.582 5.846
Nd 2.070 0.000 5.846
Nd 2.070 -3.582 5.846
Sc 0.000 0.000 0.000
CELL_PARAMETERS angstrom
3.102 -5.373 0.000
3.102 5.373 0.000
-2.066 0.000 11.692
```